# NaMg8Cd4

A geometry-optimized NaMg8Cd4 structure (PBE, the Alexandria database).

Cell lengths 5.9308, 7.7906, 7.7906 Å; angles 81.67, 67.63, 67.63 degrees
Last column: nearest neighbours and their distance in Å.
Element x y z (fractional)
Mg  0.3501  0.6499  0.6499  5 Mg 3.05-3.25, 4 Cd 3.12
Mg  0.0000  0.3501  0.6499  5 Mg 3.05-3.25, 4 Cd 3.12
Mg  0.2812  0.2188  0.2188  4 Cd 2.96, 6 Mg 3.15-3.25
Mg  0.0000  0.6499  0.3501  5 Mg 3.05-3.25, 4 Cd 3.12
Mg  0.5000  0.2188  0.7812  4 Cd 2.96, 6 Mg 3.15-3.25
Mg  0.6499  0.3501  0.3501  5 Mg 3.05-3.25, 4 Cd 3.12
Mg  0.7188  0.7812  0.7812  4 Cd 2.96, 6 Mg 3.15-3.25
Mg  0.5000  0.7812  0.2188  4 Cd 2.96, 6 Mg 3.15-3.25
Cd  0.5000  0.0000  0.5000  8 Mg 2.96-3.12, 2 Cd 2.97
Cd  0.0000  0.0000  0.5000  8 Mg 2.96-3.12, 2 Cd 2.97
Cd  0.0000  0.5000  0.0000  8 Mg 2.96-3.12, 2 Cd 2.97
Cd  0.5000  0.5000  0.0000  8 Mg 2.96-3.12, 2 Cd 2.97
Na  0.0000  0.0000  0.0000  12 Mg 3.57-3.71, 8 Cd 3.90

Values from the calculation:
The energy comes out at -1.41 eV per atom. The value obtained for the formation energy is -0.042 eV per atom.